(1)
# Tm5Co3Sn3

A relaxed structure of Tm5Co3Sn3 (PBE-GGA, Alexandria via LeMat-Bulk).

Calculated values
* crystal system: hexagonal
* density of states at the Fermi level: 0.788 states/eV/atom
* symmetry: P-62m (189)
* total energy: -5.24 eV/atom

The structure in CIF format:
```
data_Tm5Co3Sn3
_symmetry_space_group_name_H-M 'P 1'
_symmetry_Int_Tables_number 1
_cell_length_a 4.7889
_cell_length_b 8.3039
_cell_length_c 8.3039
_cell_angle_alpha 120.00
_cell_angle_beta 90.00
_cell_angle_gamma 90.00
loop_
_symmetry_equiv_pos_as_xyz
'x,y,z'
loop_
_atom_site_label
_atom_site_fract_x
_atom_site_fract_y
_atom_site_fract_z
Tm1 0.5000 0.0000 0.7562
Tm2 0.5000 0.6667 0.3333
Tm3 0.5000 0.7562 0.0000
Tm4 0.5000 0.3333 0.6667
Tm5 0.5000 0.2438 0.2438
Sn1 0.0000 0.6426 0.6426
Sn2 0.0000 0.0000 0.3574
Sn3 0.0000 0.3574 0.0000
Co1 0.5000 0.3707 0.0000
Co2 0.5000 0.6293 0.6293
Co3 0.5000 0.0000 0.3707
```

(2)
# Ac8Ge3PS4

A relaxed structure of Ac8Ge3PS4 (PBE-GGA, Alexandria via LeMat-Bulk).

Calculated values
* crystal system: trigonal
* density of states at the Fermi level: 0.279 states/eV/atom
* symmetry: R-3m (166)
* total energy: -5.79 eV/atom

The structure in CIF format:
```
data_Ac8Ge3PS4
_symmetry_space_group_name_H-M 'P 1'
_symmetry_Int_Tables_number 1
_cell_length_a 8.9828
_cell_length_b 8.8815
_cell_length_c 8.9825
_cell_angle_alpha 120.38
_cell_angle_beta 120.00
_cell_angle_gamma 90.00
loop_
_symmetry_equiv_pos_as_xyz
'x,y,z'
loop_
_atom_site_label
_atom_site_fract_x
_atom_site_fract_y
_atom_site_fract_z
Ge1 0.5000 0.5000 0.0000
Ge2 0.5000 0.5000 0.5000
Ge3 0.0000 0.5000 0.5000
Ac1 0.2480 0.7458 0.4959
Ac2 0.2479 0.7457 0.9978
Ac3 0.7499 0.7457 0.9978
Ac4 0.2501 0.2543 0.0022
Ac5 0.7496 0.7486 0.4991
Ac6 0.7520 0.2542 0.5041
Ac7 0.7521 0.2543 0.0022
Ac8 0.2504 0.2514 0.5009
S1 0.5000 0.0000 0.5000
S2 0.0000 0.0000 0.0000
S3 0.5000 0.0000 0.0000
S4 0.0000 0.0000 0.5000
P1 0.0000 0.5000 0.0000
```

(3)
# NiPd2Cl6

A relaxed structure of NiPd2Cl6 (PBE-GGA, Alexandria via LeMat-Bulk).

Calculated values
* crystal system: monoclinic
* symmetry: C2/c (15)
* total energy: -3.50 eV/atom

The structure in CIF format:
```
data_NiPd2Cl6
_symmetry_space_group_name_H-M 'P 1'
_symmetry_Int_Tables_number 1
_cell_length_a 6.6327
_cell_length_b 9.2056
_cell_length_c 9.2056
_cell_angle_alpha 90.98
_cell_angle_beta 79.85
_cell_angle_gamma 79.85
loop_
_symmetry_equiv_pos_as_xyz
'x,y,z'
loop_
_atom_site_label
_atom_site_fract_x
_atom_site_fract_y
_atom_site_fract_z
Cl1 0.0862 0.7151 0.0322
Cl2 0.9595 0.9656 0.2829
Cl3 0.1723 0.6588 0.6569
Cl4 0.0405 0.0344 0.7171
Cl5 0.8277 0.3412 0.3431
Cl6 0.9138 0.2849 0.9678
Cl7 0.6723 0.6569 0.6588
Cl8 0.5862 0.0322 0.7151
Cl9 0.4138 0.9678 0.2849
Cl10 0.3277 0.3431 0.3412
Cl11 0.5405 0.7171 0.0344
Cl12 0.4595 0.2829 0.9656
Pd1 0.8689 0.8375 0.6914
Pd2 0.3689 0.6914 0.8375
Pd3 0.1311 0.1625 0.3086
Pd4 0.6311 0.3086 0.1625
Ni1 0.7500 0.1604 0.8396
Ni2 0.2500 0.8396 0.1604
```

(4)
# Mn5BeCr2B2

A relaxed structure of Mn5BeCr2B2 (PBE-GGA, Alexandria via LeMat-Bulk).

Calculated values
* crystal system: tetragonal
* density of states at the Fermi level: 0.827 states/eV/atom
* symmetry: P4/mbm (127)
* total energy: -8.41 eV/atom

The structure in CIF format:
```
data_Mn5BeCr2B2
_symmetry_space_group_name_H-M 'P 1'
_symmetry_Int_Tables_number 1
_cell_length_a 2.8186
_cell_length_b 8.3792
_cell_length_c 8.3792
_cell_angle_alpha 90.00
_cell_angle_beta 90.00
_cell_angle_gamma 90.00
loop_
_symmetry_equiv_pos_as_xyz
'x,y,z'
loop_
_atom_site_label
_atom_site_fract_x
_atom_site_fract_y
_atom_site_fract_z
Mn1 0.5000 0.7943 0.9316
Mn2 0.5000 0.7057 0.4316
Mn3 0.5000 0.5000 0.0000
Mn4 0.5000 0.2943 0.5684
Mn5 0.5000 0.0000 0.5000
Mn6 0.5000 0.4316 0.2943
Mn7 0.5000 0.9316 0.2057
Mn8 0.5000 0.0684 0.7943
Mn9 0.5000 0.5684 0.7057
Mn10 0.5000 0.2057 0.0684
B1 0.0000 0.1285 0.6285
B2 0.0000 0.3715 0.1285
B3 0.0000 0.8715 0.3715
B4 0.0000 0.6285 0.8715
Cr1 0.0000 0.1739 0.3261
Cr2 0.0000 0.3261 0.8261
Cr3 0.0000 0.6739 0.1739
Cr4 0.0000 0.8261 0.6739
Be1 0.0000 0.0000 0.0000
Be2 0.0000 0.5000 0.5000
```

(5)
# ReAg2W

A relaxed structure of ReAg2W (PBE-GGA, Alexandria via LeMat-Bulk).

Calculated values
* crystal system: tetragonal
* energy above the most stable polymorph in this dataset: 369.4 meV per atom
* density of states at the Fermi level: 0.703 states/eV/atom
* symmetry: P4/mmm (123)
* total energy: -7.05 eV/atom

The structure in CIF format:
```
data_ReAg2W
_symmetry_space_group_name_H-M 'P 1'
_symmetry_Int_Tables_number 1
_cell_length_a 2.6739
_cell_length_b 2.6739
_cell_length_c 9.1401
_cell_angle_alpha 90.00
_cell_angle_beta 90.00
_cell_angle_gamma 90.00
loop_
_symmetry_equiv_pos_as_xyz
'x,y,z'
loop_
_atom_site_label
_atom_site_fract_x
_atom_site_fract_y
_atom_site_fract_z
Ag1 0.0000 0.0000 0.0010
Ag2 0.0000 0.0000 0.4990
W1 0.5000 0.5000 0.7500
Re1 0.5000 0.5000 0.2500
```

(6)
# VRePd2C

A relaxed structure of VRePd2C (PBE-GGA, Alexandria via LeMat-Bulk).

Calculated values
* crystal system: tetragonal
* density of states at the Fermi level: 1.493 states/eV/atom
* symmetry: P4/mmm (123)
* total energy: -7.81 eV/atom

The structure in CIF format:
```
data_VRePd2C
_symmetry_space_group_name_H-M 'P 1'
_symmetry_Int_Tables_number 1
_cell_length_a 4.1196
_cell_length_b 4.0653
_cell_length_c 4.1196
_cell_angle_alpha 90.00
_cell_angle_beta 90.00
_cell_angle_gamma 90.00
loop_
_symmetry_equiv_pos_as_xyz
'x,y,z'
loop_
_atom_site_label
_atom_site_fract_x
_atom_site_fract_y
_atom_site_fract_z
V1 0.5000 0.5000 0.5000
Pd1 0.5000 0.0000 0.0000
Pd2 0.0000 0.0000 0.5000
C1 0.0000 0.0000 0.0000
Re1 0.0000 0.5000 0.0000
```

(7)
# ReTeRu2

A relaxed structure of ReTeRu2 (PBE-GGA, Alexandria via LeMat-Bulk).

Calculated values
* crystal system: orthorhombic
* density of states at the Fermi level: 0.798 states/eV/atom
* symmetry: Immm (71)
* total energy: -7.98 eV/atom

The structure in CIF format:
```
data_ReTeRu2
_symmetry_space_group_name_H-M 'P 1'
_symmetry_Int_Tables_number 1
_cell_length_a 5.2621
_cell_length_b 5.2621
_cell_length_c 5.2621
_cell_angle_alpha 145.64
_cell_angle_beta 128.75
_cell_angle_gamma 63.17
loop_
_symmetry_equiv_pos_as_xyz
'x,y,z'
loop_
_atom_site_label
_atom_site_fract_x
_atom_site_fract_y
_atom_site_fract_z
Ru1 0.9825 0.9825 0.0000
Ru2 0.5175 0.5175 0.0000
Re1 0.2500 0.7500 0.5000
Te1 0.7500 0.2500 0.5000
```

(8)
# Zr4InNi

A relaxed structure of Zr4InNi (PBE-GGA, Alexandria via LeMat-Bulk).

Calculated values
* crystal system: cubic
* energy above the most stable polymorph in this dataset: 557.3 meV per atom
* density of states at the Fermi level: 0.947 states/eV/atom
* symmetry: F-43m (216)
* total energy: -6.76 eV/atom

The structure in CIF format:
```
data_Zr4InNi
_symmetry_space_group_name_H-M 'P 1'
_symmetry_Int_Tables_number 1
_cell_length_a 5.6905
_cell_length_b 5.6905
_cell_length_c 5.6905
_cell_angle_alpha 60.00
_cell_angle_beta 60.00
_cell_angle_gamma 60.00
loop_
_symmetry_equiv_pos_as_xyz
'x,y,z'
loop_
_atom_site_label
_atom_site_fract_x
_atom_site_fract_y
_atom_site_fract_z
Zr1 0.3749 0.3749 0.8754
Zr2 0.8754 0.3749 0.3749
Zr3 0.3749 0.3749 0.3749
Zr4 0.3749 0.8754 0.3749
Ni1 0.0000 0.0000 0.0000
In1 0.7500 0.7500 0.7500
```

(9)
# Zn2Mo

A relaxed structure of Zn2Mo (PBE-GGA, Alexandria via LeMat-Bulk).

Calculated values
* crystal system: hexagonal
* density of states at the Fermi level: 0.959 states/eV/atom
* symmetry: P-62m (189)
* total energy: -4.09 eV/atom

The structure in CIF format:
```
data_Zn2Mo
_symmetry_space_group_name_H-M 'P 1'
_symmetry_Int_Tables_number 1
_cell_length_a 7.9047
_cell_length_b 7.9047
_cell_length_c 2.5647
_cell_angle_alpha 90.00
_cell_angle_beta 90.00
_cell_angle_gamma 120.00
loop_
_symmetry_equiv_pos_as_xyz
'x,y,z'
loop_
_atom_site_label
_atom_site_fract_x
_atom_site_fract_y
_atom_site_fract_z
Zn1 0.0000 0.6262 0.5000
Zn2 0.0000 0.3018 0.0000
Zn3 0.6982 0.6982 0.0000
Zn4 0.3738 0.3738 0.5000
Zn5 0.6262 0.0000 0.5000
Zn6 0.3018 0.0000 0.0000
Mo1 0.0000 0.0000 0.5000
Mo2 0.3333 0.6667 0.0000
Mo3 0.6667 0.3333 0.0000
```

(10)
# Th5In4Sn

A relaxed structure of Th5In4Sn (PBE-GGA, Alexandria via LeMat-Bulk).

Calculated values
* crystal system: tetragonal
* density of states at the Fermi level: 1.029 states/eV/atom
* symmetry: P4/mmm (123)
* total energy: -5.50 eV/atom

The structure in CIF format:
```
data_Th5In4Sn
_symmetry_space_group_name_H-M 'P 1'
_symmetry_Int_Tables_number 1
_cell_length_a 4.1597
_cell_length_b 4.1597
_cell_length_c 16.7939
_cell_angle_alpha 90.00
_cell_angle_beta 90.00
_cell_angle_gamma 90.00
loop_
_symmetry_equiv_pos_as_xyz
'x,y,z'
loop_
_atom_site_label
_atom_site_fract_x
_atom_site_fract_y
_atom_site_fract_z
Th1 0.5000 0.5000 0.9007
Th2 0.5000 0.5000 0.3004
Th3 0.5000 0.5000 0.6996
Th4 0.5000 0.5000 0.5000
Th5 0.5000 0.5000 0.0993
In1 0.0000 0.0000 0.7976
In2 0.0000 0.0000 0.2024
In3 0.0000 0.0000 0.6000
In4 0.0000 0.0000 0.4000
Sn1 0.0000 0.0000 0.0000
```

(11)
# La5Er12Th2

A relaxed structure of La5Er12Th2 (PBE-GGA, Alexandria via LeMat-Bulk).

Calculated values
* crystal system: monoclinic
* density of states at the Fermi level: 1.441 states/eV/atom
* symmetry: C2/m (12)
* total energy: -4.82 eV/atom

The structure in CIF format:
```
data_La5Er12Th2
_symmetry_space_group_name_H-M 'P 1'
_symmetry_Int_Tables_number 1
_cell_length_a 12.3646
_cell_length_b 12.3646
_cell_length_c 8.6874
_cell_angle_alpha 47.49
_cell_angle_beta 47.49
_cell_angle_gamma 44.63
loop_
_symmetry_equiv_pos_as_xyz
'x,y,z'
loop_
_atom_site_label
_atom_site_fract_x
_atom_site_fract_y
_atom_site_fract_z
Er1 0.5608 0.1808 0.5894
Er2 0.1808 0.5608 0.5894
Er3 0.4444 0.4444 0.7787
Er4 0.9680 0.3220 0.9523
Er5 0.3220 0.9680 0.9523
Er6 0.9263 0.9263 0.2681
Er7 0.8192 0.4392 0.4106
Er8 0.4392 0.8192 0.4106
Er9 0.5556 0.5556 0.2213
Er10 0.6780 0.0320 0.0477
Er11 0.0320 0.6780 0.0477
Er12 0.0737 0.0737 0.7319
La1 0.7692 0.7692 0.8929
La2 0.2308 0.2308 0.1071
La3 0.2959 0.2959 0.3862
La4 0.0000 0.0000 0.5000
La5 0.7041 0.7041 0.6138
Th1 0.3269 0.6731 0.0000
Th2 0.6731 0.3269 0.0000
```

(12)
# YTaMo2

A relaxed structure of YTaMo2 (PBE-GGA, Alexandria via LeMat-Bulk).

Calculated values
* crystal system: tetragonal
* energy above the most stable polymorph in this dataset: 633.2 meV per atom
* density of states at the Fermi level: 0.797 states/eV/atom
* symmetry: I-42d (122)
* total energy: -9.16 eV/atom

The structure in CIF format:
```
data_YTaMo2
_symmetry_space_group_name_H-M 'P 1'
_symmetry_Int_Tables_number 1
_cell_length_a 7.4679
_cell_length_b 7.4679
_cell_length_c 6.0389
_cell_angle_alpha 51.81
_cell_angle_beta 51.81
_cell_angle_gamma 90.00
loop_
_symmetry_equiv_pos_as_xyz
'x,y,z'
loop_
_atom_site_label
_atom_site_fract_x
_atom_site_fract_y
_atom_site_fract_z
Mo1 0.8750 0.9054 0.7500
Mo2 0.6554 0.1250 0.2500
Mo3 0.3750 0.3446 0.7500
Mo4 0.0946 0.6250 0.2500
Y1 0.2500 0.7500 0.5000
Y2 0.5000 0.5000 0.0000
Ta1 0.0000 0.0000 0.0000
Ta2 0.7500 0.2500 0.5000
```